VASP calculation (PBE) on crystalline Ca2Ga2Ni3 at its relaxed geometry.

Lattice parameters (Å, degrees): 3.8968 5.7334 6.8139 114.72 90.00 109.87
Atoms (fractional coordinates):
1 Ca 0.8646 0.7293 0.2525
2 Ca 0.1354 0.2707 0.7475
3 Ga 0.8698 0.7396 0.7863
4 Ga 0.1302 0.2604 0.2137
5 Ni 0.5000 0.0000 0.0000
6 Ni 0.6580 0.3161 0.4291
7 Ni 0.3420 0.6839 0.5709

Properties
Crystal system = monoclinic
Space-group type = No. 12
Magnetization = 0.0 μB/f.u.
DOS(E_F) = 3.9 states/eV/cell
Formation enthalpy at 0 K = -238 kJ/mol of formula units